SCAN FeSbAu2, single point on PBEsol structure; final energy = -48.236 eV/atom; Fermi-level density of states = 2.24 states/eV/cell; calculated volume = 17.26 Å³/atom
1.0
-1.3276 1.1547 3.5661
2.2046 -2.8191 1.7336
2.8908 3.6391 -2.3192
Au Sb Fe
2 1 1
direct
0.2500 0.7500 0.5000
0.7500 0.2500 0.5000
0.0000 0.0000 0.0000
0.5000 0.5000 0.0000